Entry 1:
Below is a PBEsol-optimized structure of Ba2TaMo, with properties calculated at the meta-GGA SCAN level.

Output
calculated volume: 25.45 A^3/atom
space group: C2/m, No. 12
E_form: 6.1 eV/f.u.
magnetic moment: 0.000 μB per atom

Cell: 3.015 5.998 6.380 Å, 61.96 89.60 89.16°
Positions (direct):
1 Ba 0.000 0.500 0.500
2 Ba 0.000 0.000 0.500
3 Mo 0.500 0.000 0.000
4 Ta 0.500 0.500 0.000

***

Entry 2:
Below is a PBEsol-optimized structure of BaTaMo2, with properties calculated at the meta-GGA SCAN level.

Output
calculated volume: 19.33 A^3/atom
space group: Fm-3m, No. 225
E_form: 5.0 eV/f.u.
magnetic moment: 0.000 μB per atom

Cell: 4.782 4.782 4.782 Å, 60.00 60.00 60.00°
Positions (direct):
1 Ba 0.500 0.500 0.500
2 Mo 0.250 0.250 0.250
3 Mo 0.750 0.750 0.750
4 Ta 0.000 0.000 0.000

***

Entry 3:
Below is a PBEsol-optimized structure of BaTaMo2, with properties calculated at the meta-GGA SCAN level.

Output
calculated volume: 19.39 A^3/atom
space group: I-4m2, No. 119
E_form: 6.2 eV/f.u.
magnetic moment: 0.000 μB per atom

Cell: 3.975 3.975 5.656 Å, 110.57 110.57 90.00°
Positions (direct):
1 Ba 0.250 0.750 0.500
2 Mo 0.000 0.000 0.000
3 Mo 0.750 0.250 0.500
4 Ta 0.500 0.500 0.000

***

Entry 4:
Below is a PBEsol-optimized structure of BaTaMo2, with properties calculated at the meta-GGA SCAN level.

Output
calculated volume: 19.60 A^3/atom
space group: Immm, No. 71
E_form: 5.4 eV/f.u.
magnetic moment: 0.000 μB per atom

Cell: 3.184 5.281 5.590 Å, 118.19 106.55 90.00°
Positions (direct):
1 Ba 0.000 0.500 0.000
2 Mo 0.764 0.764 0.528
3 Mo 0.236 0.236 0.472
4 Ta 0.500 0.000 0.000

***

Entry 5:
Below is a PBEsol-optimized structure of BaTcMo, with properties calculated at the meta-GGA SCAN level.

Output
calculated volume: 21.48 A^3/atom
space group: F-43m, No. 216
E_form: 7.9 eV/f.u.
magnetic moment: 0.197 μB per atom

Cell: 4.500 4.500 4.500 Å, 60.00 60.00 60.00°
Last column: magnetic moment on the atom in μB.
Positions (direct):
1 Ba 0.250 0.250 0.250  0.08
2 Mo 0.000 0.000 0.000  2.18
3 Tc 0.500 0.500 0.500  -1.76

***

Entry 6:
Below is a PBEsol-optimized structure of BaTc3Mo, with properties calculated at the meta-GGA SCAN level.

Output
calculated volume: 21.69 A^3/atom
space group: Pm-3m, No. 221
E_form: 6.5 eV/f.u.
magnetic moment: 0.582 μB per atom

Cell: 4.769 4.769 4.769 Å, 90.00 90.00 90.00°
Last column: magnetic moment on the atom in μB.
Positions (direct):
1 Mo 0.000 0.000 0.000  -0.32
2 Ba 0.500 0.500 0.500  0.04
3 Tc 0.000 0.500 0.000  0.97
4 Tc 0.000 0.000 0.500  0.97
5 Tc 0.500 0.000 0.000  0.97

***

> What is the magnetic moment in the third record?

0.000 μB per atom